## LiFeMo2O8 (PBE with a Hubbard U)

Data for a relaxed LiFeMo2O8 crystal.

Cell lengths 6.861, 7.211, 7.611 Å; angles 91.16, 110.44, 104.69 degrees
Sites, in units of the cell vectors:
Li: 0.771 0.449 0.240
Li: 0.229 0.551 0.760
Fe: 0.407 0.102 0.318
Fe: 0.593 0.898 0.682
Mo: 0.824 0.968 0.210
Mo: 0.334 0.578 0.284
Mo: 0.176 0.032 0.790
Mo: 0.666 0.422 0.716
O: 0.570 0.160 0.608
O: 0.245 0.039 0.041
O: 0.728 0.730 0.256
O: 0.886 0.946 0.664
O: 0.430 0.840 0.392
O: 0.691 0.132 0.274
O: 0.514 0.611 0.658
O: 0.908 0.515 0.680
O: 0.260 0.583 0.041
O: 0.486 0.389 0.342
O: 0.755 0.961 0.959
O: 0.092 0.485 0.320
O: 0.114 0.054 0.336
O: 0.272 0.270 0.744
O: 0.740 0.417 0.959
O: 0.309 0.868 0.726

Results
- calculated density (g cm⁻³) = 3.8
- uncorrected energy (eV/atom) = -6.78
- DOS at the Fermi energy (states/eV/cell) = 0.000
- SG = P-1, No. 2

## Li2FeMo2O6 (PBE with a Hubbard U)

Data for a relaxed Li2FeMo2O6 crystal.

Cell lengths 5.606, 5.606, 5.981 Å; angles 62.06, 62.06, 60.00 degrees
Sites, in units of the cell vectors:
Li: 0.411 0.411 0.767
Li: 0.589 0.589 0.233
Fe: 0.000 0.000 0.000
Mo: 0.820 0.820 0.541
Mo: 0.180 0.180 0.459
O: 0.763 0.763 0.265
O: 0.209 0.763 0.265
O: 0.763 0.209 0.265
O: 0.237 0.791 0.735
O: 0.791 0.237 0.735
O: 0.237 0.237 0.735

Results
- calculated density (g cm⁻³) = 4.3
- uncorrected energy (eV/atom) = -5.81
- DOS at the Fermi energy (states/eV/cell) = 5.266
- SG = R-3m, No. 166